# RbCoSeO

A geometry-optimized RbCoSeO structure (GGA+U, OQMD via LeMat-Bulk).

Calculated values
For the raw total energy, the calculation gives -71.48 eV per cell. The symmetry is P2_1, No. 4. As for the volume: 25.13 Å³/atom.

Lattice parameters (Å, degrees): 5.4264 5.5167 13.5617 82.06 90.00 90.00
With the nearest neighbours (Å) after each atom.
Positions (direct):
Rb 0.6305 0.2821 0.6092  5 Se 3.34-3.62, 1 Rb 3.60
Rb 0.6375 0.7458 0.7938  2 O 2.78-2.82
Rb 0.1375 0.2542 0.2062  2 O 2.78-2.82
Rb 0.1305 0.7179 0.3908  5 Se 3.34-3.62, 1 Rb 3.60
Se 0.1313 0.3441 0.7806  1 Se 2.45, 1 Co 2.56
Se 0.6313 0.6559 0.2194  1 Se 2.45, 1 Co 2.56
Se 0.6334 0.3281 0.3613  1 Se 2.45
Se 0.1334 0.6719 0.6387  1 Se 2.45
O 0.3896 0.2451 0.0249  4 Co 1.96-2.10
O 0.3933 0.7565 0.9736  4 Co 1.96-2.12
O 0.8896 0.7549 0.9751  4 Co 1.96-2.10
O 0.8933 0.2435 0.0264  4 Co 1.96-2.12
Co 0.6417 0.0036 0.0026  4 O 1.96-1.99
Co 0.6427 0.5005 0.0501  4 O 2.02-2.12
Co 0.1417 0.9964 0.9974  4 O 1.96-1.99
Co 0.1427 0.4995 0.9499  4 O 2.02-2.12